Run i
Below is a relaxed structure of Al2NiPd8, with properties calculated at the GGA-PBE level.

Lattice parameters (Å, degrees): 4.6974 6.8157 6.8157 56.60 76.44 76.44
Sites, in units of the cell vectors:
Al1 0.5045 0.8691 0.8691
Al2 0.4955 0.1309 0.1309
Ni1 0.0000 0.0000 0.0000
Pd1 0.2255 0.3614 0.7740
Pd2 0.7745 0.2260 0.6386
Pd3 0.0821 0.7769 0.7769
Pd4 0.9179 0.2231 0.2231
Pd5 0.2255 0.7740 0.3614
Pd6 0.7745 0.6386 0.2260
Pd7 0.6702 0.6493 0.6493
Pd8 0.3298 0.3507 0.3507

Output
- size of the total moment (μB/f.u.) = 0.0
- calculated volume (A^3/atom) = 15.96
- space-group type = C2/m (12)

=====

Run ii
Below is a relaxed structure of Al2NiPd8, with properties calculated at the GGA-PBE level.

Lattice parameters (Å, degrees): 4.0722 6.9967 7.0862 119.58 106.70 90.00
Sites, in units of the cell vectors:
Al1 0.1956 0.6956 0.3912
Al2 0.8044 0.3044 0.6088
Ni1 0.5000 0.0000 0.0000
Pd1 0.6584 0.8800 0.3168
Pd2 0.3416 0.5632 0.6832
Pd3 0.1448 0.1448 0.2896
Pd4 0.0000 0.3071 0.0000
Pd5 0.8552 0.8552 0.7104
Pd6 0.6584 0.4368 0.3168
Pd7 0.3416 0.1200 0.6832
Pd8 0.0000 0.6928 0.0000

Output
- size of the total moment (μB/f.u.) = 0.5
- calculated volume (A^3/atom) = 15.07
- space-group type = Immm (71)

=====

Stability verdict: run ii, ahead by 234 meV per atom

=====

Run i
Below is a relaxed structure of Al3NiPd, with properties calculated at the GGA-PBE level.

Lattice parameters (Å, degrees): 4.4121 4.4121 4.4121 90.00 90.00 90.00
Sites, in units of the cell vectors:
Ni1 0.0000 0.0000 0.0000
Al1 0.0000 0.5000 0.0000
Al2 0.0000 0.0000 0.5000
Al3 0.5000 0.0000 0.0000
Pd1 0.5000 0.5000 0.5000

Output
- size of the total moment (μB/f.u.) = 0.0
- calculated volume (A^3/atom) = 17.18
- space-group type = Pm-3m (221)

=====

Run ii
Below is a relaxed structure of Al3NiPd, with properties calculated at the GGA-PBE level.

Lattice parameters (Å, degrees): 4.6397 4.6397 4.6397 90.00 90.00 90.00
Sites, in units of the cell vectors:
Ni1 0.5000 0.5000 0.5000
Al1 0.0000 0.5000 0.0000
Al2 0.0000 0.0000 0.5000
Al3 0.5000 0.0000 0.0000
Pd1 0.0000 0.0000 0.0000

Output
- size of the total moment (μB/f.u.) = 0.0
- calculated volume (A^3/atom) = 19.98
- space-group type = Pm-3m (221)

=====

Stability verdict: run i, ahead by 420 meV per atom

=====

Run i
Below is a relaxed structure of Al2Ni2Pd, with properties calculated at the GGA-PBE level.

Lattice parameters (Å, degrees): 6.9127 6.9127 2.7199 90.00 90.00 90.00
Sites, in units of the cell vectors:
Ni1 0.3736 0.8736 0.0000
Ni2 0.8736 0.6264 0.0000
Ni3 0.6264 0.1264 0.0000
Ni4 0.1264 0.3736 0.0000
Al1 0.1708 0.6708 0.5000
Al2 0.6708 0.8292 0.5000
Al3 0.8292 0.3292 0.5000
Al4 0.3292 0.1708 0.5000
Pd1 0.0000 0.0000 0.0000
Pd2 0.5000 0.5000 0.0000

Output
- size of the total moment (μB/f.u.) = 0.0
- calculated volume (A^3/atom) = 13.00
- space-group type = P4/mbm (127)

=====

Run ii
Below is a relaxed structure of Al2Ni2Pd, with properties calculated at the GGA-PBE level.

Lattice parameters (Å, degrees): 4.0831 4.0831 4.9360 90.00 90.00 120.00
Sites, in units of the cell vectors:
Al1 0.3333 0.6667 0.1929
Al2 0.6667 0.3333 0.8071
Ni1 0.3333 0.6667 0.6706
Ni2 0.6667 0.3333 0.3294
Pd1 0.0000 0.0000 0.0000

Output
- size of the total moment (μB/f.u.) = 0.0
- calculated volume (A^3/atom) = 14.25
- space-group type = P-3m1 (164)

=====

Run iii
Below is a relaxed structure of Al2Ni2Pd, with properties calculated at the GGA-PBE level.

Lattice parameters (Å, degrees): 3.3600 3.3600 6.6518 75.37 75.37 90.00
Sites, in units of the cell vectors:
Ni1 0.7500 0.2500 0.5000
Ni2 0.2500 0.7500 0.5000
Al1 0.3912 0.3912 0.2175
Al2 0.6088 0.6088 0.7825
Pd1 0.0000 0.0000 0.0000

Output
- size of the total moment (μB/f.u.) = 0.0
- calculated volume (A^3/atom) = 14.03
- space-group type = I4/mmm (139)

=====

Stability verdict: run i, ahead by 181 meV per atom

=====

Run i
Below is a relaxed structure of PmAlNiPd, with properties calculated at the GGA-PBE level.

Lattice parameters (Å, degrees): 4.2951 4.2938 5.3710 113.52 90.00 120.01
Sites, in units of the cell vectors:
Pm1 0.6155 0.2309 0.4886
Al1 0.1226 0.2451 0.0100
Ni1 0.8198 0.6396 0.1016
Pd1 0.4084 0.8169 0.8673

Output
- size of the total moment (μB/f.u.) = 0.0
- calculated volume (A^3/atom) = 19.03
- space-group type = R3m (160)

=====

Run ii
Below is a relaxed structure of PmAlNiPd, with properties calculated at the GGA-PBE level.

Lattice parameters (Å, degrees): 4.6744 4.6744 4.6744 60.00 60.00 60.00
Sites, in units of the cell vectors:
Ni1 0.2500 0.2500 0.2500
Al1 0.5000 0.5000 0.5000
Pd1 0.7500 0.7500 0.7500
Pm1 0.0000 0.0000 0.0000

Output
- size of the total moment (μB/f.u.) = 0.0
- calculated volume (A^3/atom) = 18.06
- space-group type = F-43m (216)

=====

Stability verdict: run i, ahead by 164 meV per atom

=====

Run i
Below is a relaxed structure of AlNiPdPt, with properties calculated at the GGA-PBE level.

Lattice parameters (Å, degrees): 4.2779 4.2779 4.2779 60.00 60.00 60.00
Sites, in units of the cell vectors:
Ni1 0.5000 0.5000 0.5000
Pd1 0.2500 0.2500 0.2500
Pt1 0.7500 0.7500 0.7500
Al1 0.0000 0.0000 0.0000

Output
- size of the total moment (μB/f.u.) = 0.0
- calculated volume (A^3/atom) = 13.84
- space-group type = F-43m (216)

=====

Run ii
Below is a relaxed structure of AlNiPdPt, with properties calculated at the GGA-PBE level.

Lattice parameters (Å, degrees): 3.5907 3.9313 3.9190 90.00 90.00 90.00
Sites, in units of the cell vectors:
Al1 0.5000 0.5000 0.0000
Ni1 0.5000 0.0000 0.5000
Pd1 0.0000 0.0000 0.0000
Pt1 0.0000 0.5000 0.5000

Output
- size of the total moment (μB/f.u.) = 0.6
- calculated volume (A^3/atom) = 13.83
- space-group type = Pmmm (47)

=====

Stability verdict: run ii, ahead by 6 meV per atom

=====

Run i
Below is a relaxed structure of PmAlNi, with properties calculated at the GGA-PBE level.

Lattice parameters (Å, degrees): 4.5697 6.8011 7.4396 90.00 90.00 90.00
Sites, in units of the cell vectors:
Pm1 0.2500 0.8209 0.4650
Pm2 0.7500 0.3209 0.0350
Pm3 0.2500 0.6791 0.9650
Pm4 0.7500 0.1791 0.5350
Al1 0.7500 0.8908 0.1791
Al2 0.7500 0.6092 0.6791
Al3 0.2500 0.1092 0.8209
Al4 0.2500 0.3908 0.3209
Ni1 0.7500 0.5762 0.3468
Ni2 0.7500 0.9238 0.8468
Ni3 0.2500 0.0762 0.1532
Ni4 0.2500 0.4238 0.6532

Output
- size of the total moment (μB/f.u.) = 0.0
- calculated volume (A^3/atom) = 19.27
- space-group type = Pnma (62)

=====

Run ii
Below is a relaxed structure of PmAlNi, with properties calculated at the GGA-PBE level.

Lattice parameters (Å, degrees): 3.8952 4.2850 4.2850 120.00 90.00 90.00
Sites, in units of the cell vectors:
Ni1 0.1667 0.0000 0.0000
Al1 0.1667 0.3333 0.6667
Pm1 0.6667 0.6667 0.3333

Output
- size of the total moment (μB/f.u.) = 0.0
- calculated volume (A^3/atom) = 20.65
- space-group type = P-6m2 (187)

=====

Stability verdict: run i, ahead by 88 meV per atom

=====

Run i
Below is a relaxed structure of Pm4AlNi, with properties calculated at the GGA-PBE level.

Lattice parameters (Å, degrees): 9.6939 9.6939 9.6939 60.00 60.00 60.00
Sites, in units of the cell vectors:
Pm1 0.4000 0.4000 0.4000
Pm2 0.8000 0.4000 0.4000
Pm3 0.4000 0.8000 0.4000
Pm4 0.4000 0.4000 0.8000
Pm5 0.5551 0.5551 0.9449
Pm6 0.9449 0.9449 0.5551
Pm7 0.5551 0.9449 0.5551
Pm8 0.9449 0.5551 0.9449
Pm9 0.9449 0.5551 0.5551
Pm10 0.5551 0.9449 0.9449
Pm11 0.1855 0.1855 0.8145
Pm12 0.8145 0.8145 0.1855
Pm13 0.1855 0.8145 0.1855
Pm14 0.8145 0.1855 0.8145
Pm15 0.8145 0.1855 0.1855
Pm16 0.1855 0.8145 0.8145
Al1 0.1756 0.1756 0.1756
Al2 0.4731 0.1756 0.1756
Al3 0.1756 0.4731 0.1756
Al4 0.1756 0.1756 0.4731
Ni1 0.6077 0.6077 0.6077
Ni2 0.1769 0.6077 0.6077
Ni3 0.6077 0.1769 0.6077
Ni4 0.6077 0.6077 0.1769

Output
- size of the total moment (μB/f.u.) = 0.0
- calculated volume (A^3/atom) = 26.84
- space-group type = F-43m (216)

=====

Run ii
Below is a relaxed structure of Pm4AlNi, with properties calculated at the GGA-PBE level.

Lattice parameters (Å, degrees): 7.0507 7.0507 8.3773 114.89 114.89 90.00
Sites, in units of the cell vectors:
Pm1 0.4560 0.9560 0.2679
Pm2 0.9560 0.8119 0.2679
Pm3 0.3119 0.4560 0.2679
Pm4 0.6881 0.5440 0.7321
Pm5 0.0440 0.1881 0.7321
Pm6 0.5440 0.0440 0.7321
Pm7 0.1881 0.6881 0.7321
Pm8 0.8119 0.3119 0.2679
Al1 0.5000 0.5000 0.0000
Al2 0.0000 0.0000 0.0000
Ni1 0.2500 0.2500 0.5000
Ni2 0.7500 0.7500 0.5000

Output
- size of the total moment (μB/f.u.) = 0.0
- calculated volume (A^3/atom) = 27.89
- space-group type = I4/mcm (140)

=====

Stability verdict: run i, ahead by 126 meV per atom

=====

Run i
Below is a relaxed structure of Pr2AlNi, with properties calculated at the GGA-PBE level.

Lattice parameters (Å, degrees): 5.1908 5.1908 5.1908 60.00 60.00 60.00
Sites, in units of the cell vectors:
Pr1 0.2500 0.2500 0.2500
Pr2 0.7500 0.7500 0.7500
Ni1 0.0000 0.0000 0.0000
Al1 0.5000 0.5000 0.5000

Output
- size of the total moment (μB/f.u.) = 0.0
- calculated volume (A^3/atom) = 24.72
- space-group type = Fm-3m (225)

=====

Run ii
Below is a relaxed structure of Pr2AlNi, with properties calculated at the GGA-PBE level.

Lattice parameters (Å, degrees): 3.4463 3.4463 10.3222 80.39 80.39 60.00
Sites, in units of the cell vectors:
Pr1 0.0857 0.0857 0.7428
Pr2 0.9143 0.9143 0.2572
Ni1 0.0000 0.0000 0.0000
Al1 0.5000 0.5000 0.5000

Output
- size of the total moment (μB/f.u.) = 0.0
- calculated volume (A^3/atom) = 26.05
- space-group type = R-3m (166)

=====

Run iii
Below is a relaxed structure of Pr2AlNi, with properties calculated at the GGA-PBE level.

Lattice parameters (Å, degrees): 4.5934 8.9393 5.9269 112.15 112.80 90.00
Sites, in units of the cell vectors:
Pr1 0.1689 0.5844 0.3376
Pr2 0.8311 0.4156 0.6624
Pr3 0.1688 0.0844 0.3376
Pr4 0.8312 0.9156 0.6624
Al1 0.4998 0.2500 0.0000
Al2 0.5002 0.7500 0.0000
Ni1 0.0002 0.7500 0.0000
Ni2 0.9998 0.2500 0.0000

Output
- size of the total moment (μB/f.u.) = 0.0
- calculated volume (A^3/atom) = 25.59
- space-group type = Immm (71)

=====

Stability verdict: run iii, ahead by 75 meV per atom